[1]
NaLa2CoO5 PBE+U relaxed; spin magnetization = 2.02 μB/f.u.; energy = -6.95 eV per atom; crystal system = tetragonal; SG = P4/mbm, No. 127; calculated density = 5.44 g/cm3
1.0
-2.880 4.167 -2.529
-4.028 0.585 5.551
4.346 4.623 2.667
O Co Na La
10 2 2 4
direct
0.233 0.870 0.370
0.767 0.630 0.870
0.500 0.500 0.500
0.233 0.130 0.630
0.767 0.130 0.630
0.233 0.370 0.130
0.233 0.630 0.870
0.500 0.000 0.000
0.767 0.870 0.370
0.767 0.370 0.130
0.000 0.500 0.000
0.000 0.000 0.500
0.000 0.500 0.500
0.000 0.000 0.000
0.500 0.180 0.320
0.500 0.680 0.180
0.500 0.820 0.680
0.500 0.320 0.820


[2]
NaLaCo2O PBE+U relaxed; spin magnetization = 2.93 μB/f.u.; energy = -4.17 eV per atom; crystal system = tetragonal; SG = P4/mmm, No. 123; calculated density = 5.62 g/cm3
1.0
-1.755 3.191 2.592
-3.615 -2.405 0.513
1.801 -1.937 3.604
La Na O Co
1 1 1 2
direct
0.500 0.500 0.500
0.000 0.500 0.000
0.000 0.000 0.000
0.000 0.000 0.500
0.500 0.000 0.000


[3]
NaLaCoO4 PBE+U relaxed; spin magnetization = 2.99 μB/f.u.; energy = -6.31 eV per atom; crystal system = monoclinic; SG = P2_1/m, No. 11; calculated density = 4.63 g/cm3
1.0
-0.802 4.810 2.683
-4.046 -2.558 3.376
4.823 -3.889 2.834
O Na Co La
8 2 2 2
direct
0.071 0.513 0.230
0.465 0.750 0.148
0.071 0.987 0.230
0.929 0.487 0.770
0.621 0.250 0.403
0.535 0.250 0.852
0.379 0.750 0.597
0.929 0.013 0.770
0.919 0.750 0.507
0.081 0.250 0.493
0.683 0.250 0.669
0.317 0.750 0.331
0.254 0.250 0.056
0.746 0.750 0.944


[4]
NaLa2CoO6 PBE+U relaxed; spin magnetization = 2.06 μB/f.u.; energy = -6.79 eV per atom; crystal system = monoclinic; SG = P2_1/c, No. 14; calculated density = 5.90 g/cm3
1.0
-4.127 -2.763 -2.444
0.487 -4.274 4.010
-5.209 3.718 4.595
O La Co Na
12 4 2 2
direct
0.224 0.174 0.457
0.276 0.674 0.043
0.092 0.466 0.776
0.827 0.773 0.943
0.327 0.727 0.443
0.173 0.227 0.057
0.908 0.534 0.224
0.673 0.273 0.557
0.592 0.034 0.276
0.408 0.966 0.724
0.776 0.826 0.543
0.724 0.326 0.957
0.516 0.564 0.752
0.984 0.064 0.748
0.016 0.936 0.252
0.484 0.436 0.248
0.000 0.500 0.000
0.500 0.000 0.500
0.500 0.000 0.000
0.000 0.500 0.500


[5]
NaLaTbCoO6 PBE+U relaxed; spin magnetization = 2.01 μB/f.u.; energy = -6.58 eV per atom; crystal system = cubic; SG = F-43m, No. 216; calculated density = 6.10 g/cm3
1.0
-0.025 -3.082 4.768
-4.928 -1.626 2.304
-1.542 -5.462 -0.158
O Na Co Tb La
6 1 1 1 1
direct
0.771 0.229 0.771
0.229 0.771 0.771
0.229 0.771 0.229
0.771 0.229 0.229
0.771 0.771 0.229
0.229 0.229 0.771
0.750 0.750 0.750
0.000 0.000 0.000
0.500 0.500 0.500
0.250 0.250 0.250


Question: Which of these has the highest spin magnetization?
Answer: NaLaCoO4


Question: Which of these has the highest spin magnetization?
Answer: NaLaCoO4